(1)
Na2MgSi2 | Alexandria via LeMat-Bulk | PBE | relaxed; V = 23.1 Å³ per atom; ΔE_f (raw) = 0.087 eV per atom
1.0
7.0226 0.0000 0.0000
0.0000 7.0226 0.0000
0.0000 0.0000 4.6844
Na Si Mg
4 4 2
direct
0.1745 0.6745 0.5000 Na
0.6745 0.8255 0.5000 Na
0.8255 0.3255 0.5000 Na
0.3255 0.1745 0.5000 Na
0.3838 0.8838 0.0000 Si
0.8838 0.6162 0.0000 Si
0.6162 0.1162 0.0000 Si
0.1162 0.3838 0.0000 Si
0.0000 0.0000 0.0000 Mg
0.5000 0.5000 0.0000 Mg

***

(2)
MgBiO2 | Alexandria via LeMat-Bulk | PBE | relaxed; V = 18.1 Å³ per atom; ΔE_f (raw) = -1.215 eV per atom
1.0
-2.0804 -0.6645 6.0875
1.3417 -2.0744 5.9770
0.8552 1.5888 6.2106
Mg Bi O
1 1 2
direct
0.0000 0.0000 0.0000 Mg
0.5000 0.5000 0.5000 Bi
0.8960 0.8960 0.8960 O
0.1040 0.1040 0.1040 O

***

(3)
PmOsC | Alexandria via LeMat-Bulk | PBE | relaxed; ΔH_f (0 K) = 0.4 eV per formula unit; V = 19.1 Å³ per atom
1.0
-2.3959 -3.9015 1.9271
3.8828 -0.8020 3.2036
-3.7458 3.0778 1.5743
Pm Os C
2 2 2
direct
0.2500 0.6802 0.3198 Pm
0.7500 0.3198 0.6802 Pm
0.5000 0.0000 0.0000 Os
0.0000 0.0000 0.0000 Os
0.2500 0.1837 0.8163 C
0.7500 0.8163 0.1837 C

***

| no. | energy relative to the lowest polymorph listed for this composition (meV/atom) | N(E_F) (states/eV/f.u.) | total energy (eV/cell) |
| --- | --- | --- | --- |
| 1 | 0.0 | 3.41 | -29.3 |
| 2 | 314.3 | 0.87 | -20.3 |
| 3 | 149.3 | 1.80 | -49.6 |